(1)
Computed, not measured: a geometry-optimized LaNi2S structure at the PBE level of DFT.

The structure in POSCAR format:
```
LaNi2S
1.0
-3.5213 1.8009 -0.4208
-0.8470 -2.3748 -3.0761
-3.7141 -5.9497 5.6160
S Ni La
2 4 2
Direct
0.5000 0.0000 0.7500
0.0000 0.5000 0.2500
0.5000 0.5000 0.8533
0.5000 0.5000 0.1467
0.0000 0.0000 0.6467
0.0000 0.0000 0.3533
0.0000 0.0000 0.0000
0.5000 0.5000 0.5000
```

Output
For the uncorrected formation energy, the calculation gives -0.789 eV/atom.

(2)
Computed, not measured: a geometry-optimized Pr2NpFe2N6 structure at the PBE level of DFT.

The structure in POSCAR format:
```
Pr2NpFe2N6
1.0
5.7344 0.0000 0.0000
2.8672 4.9662 0.0000
2.8672 1.6554 5.5716
Pr Fe Np N
2 2 1 6
Direct
0.7874 0.7874 0.6379
0.2126 0.2126 0.3621
0.4089 0.4089 0.7734
0.5911 0.5911 0.2266
0.0000 0.0000 0.0000
0.7512 0.7512 0.2691
0.2286 0.7512 0.2691
0.7512 0.2286 0.2691
0.7714 0.2488 0.7309
0.2488 0.7714 0.7309
0.2488 0.2488 0.7309
```

Output
For the uncorrected formation energy, the calculation gives -0.621 eV/atom.

(3)
Computed, not measured: a geometry-optimized RbCu2Si structure at the PBE level of DFT.

The structure in POSCAR format:
```
RbCu2Si
1.0
5.3059 0.0000 0.0000
0.0000 5.3059 0.0000
2.6530 2.6530 7.5017
Rb Cu Si
2 4 2
Direct
0.7500 0.2500 0.5000
0.0000 0.0000 0.0000
0.3750 0.6250 0.2500
0.8750 0.6250 0.7500
0.3750 0.1250 0.2500
0.3750 0.6250 0.7500
0.5000 0.5000 0.0000
0.2500 0.7500 0.5000
```

Output
For the uncorrected formation energy, the calculation gives 0.221 eV/atom.

(4)
Computed, not measured: a geometry-optimized HfBi3Pd12 structure at the PBE level of DFT.

The structure in POSCAR format:
```
HfBi3Pd12
1.0
-3.3786 -0.8313 2.1665
-0.7969 -3.1784 -2.4622
8.7853 -9.8793 9.9098
Pd Bi Hf
12 3 1
Direct
0.0000 0.5000 0.1161
0.5000 0.0000 0.6273
0.5000 0.5000 0.0000
0.5000 0.5000 0.2449
0.5000 0.0000 0.1161
0.0000 0.5000 0.3727
0.5000 0.5000 0.7551
0.5000 0.5000 0.5000
0.5000 0.0000 0.3727
0.5000 0.0000 0.8839
0.0000 0.5000 0.8839
0.0000 0.5000 0.6273
0.0000 0.0000 0.7524
0.0000 0.0000 0.5000
0.0000 0.0000 0.2476
0.0000 0.0000 0.0000
```

Output
The energy of formation from the pure elements is -6.3 eV/f.u.

(5)
Computed, not measured: a geometry-optimized Ti2Nb8Re structure at the PBE level of DFT.

The structure in POSCAR format:
```
Ti2Nb8Re
1.0
-1.5977 -5.7570 0.1556
6.3600 0.0080 -2.8417
6.4141 0.1431 2.7135
Nb Re Ti
8 1 2
Direct
0.8030 0.1738 0.1738
0.3804 0.8189 0.3351
0.0619 0.3937 0.3937
0.6196 0.1811 0.6649
0.9381 0.6063 0.6063
0.3804 0.3351 0.8189
0.1970 0.8262 0.8262
0.6196 0.6649 0.1811
0.0000 0.0000 0.0000
0.7127 0.7602 0.7602
0.2873 0.2398 0.2398
```

Output
The energy of formation from the pure elements is 3.0 eV/f.u.

(6)
Computed, not measured: a geometry-optimized TbCoRh structure at the PBE level of DFT.

The structure in POSCAR format:
```
TbCoRh
1.0
4.3245 0.0000 2.4281
1.5057 4.4127 2.3835
-0.0956 0.0340 5.2354
Rh Tb Co
2 2 2
Direct
0.5000 0.0000 0.5000
0.5000 0.5000 0.0000
0.8808 0.3692 0.3692
0.1192 0.6308 0.6308
0.5000 0.0000 0.0000
0.0000 0.0000 0.0000
```

Output
The energy of formation from the pure elements is -1.4 eV/f.u.

The calculation returns the following DFT total energy values, one per record and in order: -47.55, -96.21, -27.40, -90.18, -105.82, -41.06 eV per cell.